Crystalline Sr8Mg2Tl at its relaxed geometry, computed with PBE.

E_tot: -1.761 eV per atom
E_form: -0.36 eV/f.u.
calculated density: 3.3 g cm⁻³

a = 10.0841 Å, b = 10.0841 Å, c = 10.0841 Å
α = 146.07°, β = 120.80°, γ = 70.01°
Last column: nearest neighbours and their distance in Å.
Element x y z (fractional)
1 Sr 0.1224 0.3428 0.7797  3 Mg 3.69-3.73, 1 Tl 3.81, 5 Sr 3.94-4.08
2 Sr 0.1346 0.1346 0.0000  2 Tl 3.69, 8 Sr 3.85-4.08, 2 Mg 4.06
3 Sr 0.3157 0.0000 0.3157  7 Sr 3.67-3.94, 2 Mg 3.72
4 Sr 0.4369 0.6572 0.7797  3 Mg 3.69-3.73, 1 Tl 3.81, 5 Sr 3.94-4.08
5 Sr 0.5631 0.3428 0.2203  3 Mg 3.69-3.73, 1 Tl 3.81, 5 Sr 3.94-4.08
6 Sr 0.6843 0.0000 0.6843  7 Sr 3.67-3.94, 2 Mg 3.72
7 Sr 0.8654 0.8654 0.0000  2 Tl 3.69, 8 Sr 3.85-4.08, 2 Mg 4.06
8 Sr 0.8776 0.6572 0.2203  3 Mg 3.69-3.73, 1 Tl 3.81, 5 Sr 3.94-4.08
9 Mg 0.3039 0.8039 0.5000  10 Sr 3.69-4.06
10 Mg 0.6961 0.1961 0.5000  10 Sr 3.69-4.06
11 Tl 0.0000 0.5000 0.5000  8 Sr 3.69-3.81

Crystalline Pm3SmN3 at its relaxed geometry, computed with PBE.

E_tot: -7.299 eV per atom
ΔE_f (raw): -1021 meV/atom
calculated density: 6.7 g cm⁻³

a = 9.7548 Å, b = 9.7548 Å, c = 9.7548 Å
α = 37.82°, β = 37.82°, γ = 37.82°
Last column: nearest neighbours and their distance in Å.
Element x y z (fractional)
1 Pm 0.1002 0.4153 0.7849  3 N 2.28-2.45
2 Pm 0.2151 0.8998 0.5847  3 N 2.28-2.45
3 Pm 0.4153 0.7849 0.1002  3 N 2.28-2.45
4 Pm 0.5847 0.2151 0.8998  3 N 2.28-2.45
5 Pm 0.7849 0.1002 0.4153  3 N 2.28-2.45
6 Pm 0.8998 0.5847 0.2151  3 N 2.28-2.45
7 Sm 0.3332 0.3332 0.3332  6 N 2.57-2.58
8 Sm 0.6668 0.6668 0.6668  6 N 2.57-2.58
9 N 0.0591 0.6902 0.4292  3 Pm 2.28-2.45
10 N 0.3098 0.5708 0.9409  3 Pm 2.28-2.45
11 N 0.4292 0.0591 0.6902  3 Pm 2.28-2.45
12 N 0.5708 0.9409 0.3098  3 Pm 2.28-2.45
13 N 0.6902 0.4292 0.0591  3 Pm 2.28-2.45
14 N 0.9409 0.3098 0.5708  3 Pm 2.28-2.45

Crystalline CsRbIn2Pd at its relaxed geometry, computed with PBE.

E_tot: -2.569 eV per atom
E_form: -0.35 eV/f.u.
calculated density: 4.9 g cm⁻³

a = 5.3875 Å, b = 5.3875 Å, c = 6.4969 Å
α = 90.00°, β = 90.00°, γ = 90.00°
Last column: nearest neighbours and their distance in Å.
Element x y z (fractional)
1 Cs 0.0000 0.0000 0.0000  2 Pd 3.25
2 Rb 0.5000 0.5000 0.0000  4 Cs 3.81, 8 In 4.22
3 In 0.0000 0.5000 0.5000  2 Pd 2.69
4 In 0.5000 0.0000 0.5000  2 Pd 2.69
5 Pd 0.0000 0.0000 0.5000  4 In 2.69

Crystalline RbHgN2O at its relaxed geometry, computed with PBE.

E_tot: -3.269 eV per atom
ΔE_f (raw): 1307 meV/atom
calculated density: 5.9 g cm⁻³

a = 4.5200 Å, b = 4.5200 Å, c = 4.5115 Å
α = 90.00°, β = 90.00°, γ = 90.00°
Last column: nearest neighbours and their distance in Å.
Element x y z (fractional)
1 Rb 0.0000 0.0000 0.0000  8 N 3.19, 4 O 3.20
2 Hg 0.5000 0.5000 0.5000  2 O 2.26, 4 N 2.26
3 N 0.0000 0.5000 0.5000  2 Hg 2.26
4 N 0.5000 0.0000 0.5000  2 Hg 2.26
5 O 0.5000 0.5000 0.0000  2 Hg 2.26

Crystalline Hf3AsPb at its relaxed geometry, computed with PBE.

E_tot: -7.466 eV per atom
E_form: 0.89 eV/f.u.
calculated density: 11.0 g cm⁻³

a = 4.9857 Å, b = 4.9857 Å, c = 4.9857 Å
α = 90.00°, β = 90.00°, γ = 90.00°
Last column: nearest neighbours and their distance in Å.
Element x y z (fractional)
1 Hf 0.0000 0.0000 0.5000  2 As 2.49
2 Hf 0.0000 0.5000 0.0000  2 As 2.49
3 Hf 0.5000 0.0000 0.0000  2 As 2.49
4 As 0.0000 0.0000 0.0000  6 Hf 2.49
5 Pb 0.5000 0.5000 0.5000  12 Hf 3.53

Crystalline La2Al4Zn at its relaxed geometry, computed with PBE.

E_tot: -3.754 eV per atom
E_form: -0.18 eV/f.u.
calculated density: 4.2 g cm⁻³

a = 8.6410 Å, b = 8.6410 Å, c = 8.6410 Å
α = 148.23°, β = 148.23°, γ = 45.54°
Last column: nearest neighbours and their distance in Å.
Element x y z (fractional)
1 La 0.1462 0.1462 0.0000  9 Al 3.15-3.35
2 La 0.8538 0.8538 0.0000  9 Al 3.15-3.35
3 Al 0.0000 0.5000 0.5000  2 Zn 2.36
4 Al 0.3442 0.3442 0.0000  1 Zn 2.48
5 Al 0.5000 0.0000 0.5000  2 Zn 2.36
6 Al 0.6558 0.6558 0.0000  1 Zn 2.48
7 Zn 0.5000 0.5000 0.0000  6 Al 2.36-2.48

Crystalline MnFeH at its relaxed geometry, computed with PBE.

E_tot: -6.718 eV per atom
calculated density: 7.5 g cm⁻³

a = 4.1658 Å, b = 4.1658 Å, c = 4.1658 Å
α = 144.20°, β = 144.20°, γ = 51.52°
Last column: nearest neighbours and their distance in Å.
Element x y z (fractional)
1 Mn 0.0000 0.0000 0.0000  1 H 1.91
2 Fe 0.7025 0.7025 0.0000  4 H 1.85
3 H 0.2546 0.2546 0.0000  4 Fe 1.85, 1 Mn 1.91

Crystalline LiCoN2 at its relaxed geometry, computed with PBE.

E_tot: -6.310 eV per atom
ΔE_f (raw): 107 meV/atom
calculated density: 3.7 g cm⁻³

a = 5.1966 Å, b = 5.1966 Å, c = 5.1966 Å
α = 127.94°, β = 127.94°, γ = 76.73°
Last column: nearest neighbours and their distance in Å.
Element x y z (fractional)
1 Li 0.0000 0.0000 0.0000  4 N 2.09
2 Li 0.7500 0.2500 0.5000  4 N 2.09
3 Co 0.2500 0.7500 0.5000  4 N 1.75
4 Co 0.5000 0.5000 0.0000  4 N 1.75
5 N 0.1863 0.6250 0.0613  2 Co 1.75
6 N 0.3750 0.4363 0.5613  2 Co 1.75
7 N 0.5637 0.1250 0.9387  2 Co 1.75
8 N 0.8750 0.8137 0.4387  2 Co 1.75

Crystalline CsLiThTe3 at its relaxed geometry, computed with PBE.

E_tot: -4.486 eV per atom
ΔE_f (raw): -1218 meV/atom
calculated density: 5.1 g cm⁻³

a = 10.3412 Å, b = 4.6584 Å, c = 10.8531 Å
α = 90.00°, β = 109.61°, γ = 90.00°
Last column: nearest neighbours and their distance in Å.
Element x y z (fractional)
1 Cs 0.2115 0.2500 0.2581  7 Te 3.91-4.03, 1 Li 4.32
2 Cs 0.7885 0.7500 0.7419  7 Te 3.91-4.03, 1 Li 4.32
3 Li 0.0807 0.2500 0.5966  4 Te 2.80-2.83
4 Li 0.9193 0.7500 0.4034  4 Te 2.80-2.83
5 Th 0.3184 0.7500 0.8435  6 Te 3.05-3.22
6 Th 0.6816 0.2500 0.1565  6 Te 3.05-3.22
7 Te 0.1259 0.2500 0.8690  1 Li 2.83, 2 Th 3.14
8 Te 0.2036 0.7500 0.5454  3 Li 2.80-2.82, 1 Th 3.05
9 Te 0.4697 0.7500 0.1554  3 Th 3.19-3.22
10 Te 0.5303 0.2500 0.8446  3 Th 3.19-3.22
11 Te 0.7964 0.2500 0.4546  3 Li 2.80-2.82, 1 Th 3.05
12 Te 0.8741 0.7500 0.1310  1 Li 2.83, 2 Th 3.14

Crystalline ThZrN2 at its relaxed geometry, computed with PBE.

E_tot: -9.514 eV per atom
ΔE_f (raw): -1359 meV/atom
calculated density: 9.8 g cm⁻³

a = 6.2985 Å, b = 6.2985 Å, c = 6.2985 Å
α = 31.13°, β = 31.13°, γ = 31.13°
Last column: nearest neighbours and their distance in Å.
Element x y z (fractional)
1 Th 0.0000 0.0000 0.0000  6 N 2.50-2.59
2 Zr 0.1765 0.1765 0.1765  6 N 2.32-2.44
3 N 0.4279 0.4279 0.4279  3 Zr 2.44, 3 Th 2.59, 1 N 2.73
4 N 0.5800 0.5800 0.5800  3 Zr 2.32, 3 Th 2.50

Crystalline Ti2AlCo at its relaxed geometry, computed with PBE.

E_tot: -6.961 eV per atom
E_form: -1.21 eV/f.u.
calculated density: 5.2 g cm⁻³

a = 3.9643 Å, b = 3.9643 Å, c = 3.6975 Å
α = 90.00°, β = 90.00°, γ = 90.00°
Last column: nearest neighbours and their distance in Å.
Element x y z (fractional)
1 Ti 0.0000 0.5000 0.0000  4 Co 2.71, 4 Al 2.71, 4 Ti 2.80
2 Ti 0.5000 0.0000 0.0000  4 Co 2.71, 4 Al 2.71, 4 Ti 2.80
3 Al 0.0000 0.0000 0.5000  8 Ti 2.71, 4 Co 2.80
4 Co 0.5000 0.5000 0.5000  8 Ti 2.71, 4 Al 2.80

Crystalline Pm7Ni2Ag2 at its relaxed geometry, computed with PBE.

E_tot: -4.682 eV per atom
E_form: -0.98 eV/f.u.
calculated density: 7.1 g cm⁻³

a = 6.9061 Å, b = 6.9061 Å, c = 7.1162 Å
α = 90.00°, β = 90.00°, γ = 111.30°
Last column: nearest neighbours and their distance in Å.
Element x y z (fractional)
1 Pm 0.0000 0.0000 0.0000  2 Ni 3.43, 4 Ag 3.81
2 Pm 0.0000 0.5000 0.2524  2 Ni 2.71
3 Pm 0.0000 0.5000 0.7476  2 Ni 2.71
4 Pm 0.5000 0.0000 0.2524  2 Ni 2.71
5 Pm 0.5000 0.0000 0.7476  2 Ni 2.71
6 Pm 0.5000 0.5000 0.2427  2 Ni 2.86, 2 Ag 3.12
7 Pm 0.5000 0.5000 0.7573  2 Ni 2.86, 2 Ag 3.12
8 Ni 0.3005 0.6995 0.0000  6 Pm 2.71-2.86
9 Ni 0.6995 0.3005 0.0000  6 Pm 2.71-2.86
10 Ag 0.1754 0.1754 0.5000  1 Ag 2.73
11 Ag 0.8246 0.8246 0.5000  1 Ag 2.73

Crystalline Dy5Si2Bi at its relaxed geometry, computed with PBE.

E_tot: -5.390 eV per atom
ΔE_f (raw): -672 meV/atom
calculated density: 8.5 g cm⁻³

a = 8.7608 Å, b = 8.7608 Å, c = 8.7608 Å
α = 126.64°, β = 126.64°, γ = 78.84°
Last column: nearest neighbours and their distance in Å.
Element x y z (fractional)
1 Dy 0.0000 0.0000 0.0000  4 Si 3.01
2 Dy 0.0167 0.5167 0.8090  3 Si 2.88-3.02
3 Dy 0.2077 0.0167 0.5000  3 Si 2.88-3.02
4 Dy 0.2923 0.7923 0.8090  3 Si 2.88-3.02
5 Dy 0.4833 0.2923 0.5000  3 Si 2.88-3.02
6 Dy 0.5000 0.5000 0.0000  4 Si 3.01
7 Dy 0.5167 0.7077 0.5000  3 Si 2.88-3.02
8 Dy 0.7077 0.2077 0.1910  3 Si 2.88-3.02
9 Dy 0.7923 0.9833 0.5000  3 Si 2.88-3.02
10 Dy 0.9833 0.4833 0.1910  3 Si 2.88-3.02
11 Si 0.1477 0.3523 0.5000  8 Dy 2.88-3.02
12 Si 0.3523 0.8523 0.2045  8 Dy 2.88-3.02
13 Si 0.6477 0.1477 0.7955  8 Dy 2.88-3.02
14 Si 0.8523 0.6477 0.5000  8 Dy 2.88-3.02
15 Bi 0.2500 0.2500 0.0000  10 Dy 3.34-3.38
16 Bi 0.7500 0.7500 0.0000  10 Dy 3.34-3.38

Crystalline BeSi2HgO6 at its relaxed geometry, computed with PBE.

E_tot: -6.719 eV per atom
ΔE_f (raw): -2256 meV/atom
calculated density: 4.6 g cm⁻³

a = 7.3658 Å, b = 7.3658 Å, c = 5.4675 Å
α = 109.85°, β = 109.85°, γ = 91.16°
Last column: nearest neighbours and their distance in Å.
Element x y z (fractional)
1 Be 0.2247 0.7753 0.7500  4 O 1.59-1.69
2 Be 0.7753 0.2247 0.2500  4 O 1.59-1.69
3 Si 0.2062 0.3741 0.3542  4 O 1.61-1.67
4 Si 0.3741 0.2062 0.8542  4 O 1.61-1.67
5 Si 0.6259 0.7938 0.1458  4 O 1.61-1.67
6 Si 0.7938 0.6259 0.6458  4 O 1.61-1.67
7 Hg 0.1418 0.8582 0.2500  2 O 2.11
8 Hg 0.8582 0.1418 0.7500  2 O 2.11
9 O 0.0152 0.7615 0.8109  1 Si 1.67, 1 Be 1.69
10 O 0.1995 0.6046 0.4644  1 Be 1.59, 1 Si 1.61
11 O 0.2385 0.9848 0.6891  1 Si 1.67, 1 Be 1.69
12 O 0.3075 0.3174 0.1184  2 Si 1.64
13 O 0.3174 0.3075 0.6184  2 Si 1.64
14 O 0.3954 0.8005 0.0356  1 Be 1.59, 1 Si 1.61
15 O 0.6046 0.1995 0.9644  1 Be 1.59, 1 Si 1.61
16 O 0.6826 0.6925 0.3816  2 Si 1.64
17 O 0.6925 0.6826 0.8816  2 Si 1.64
18 O 0.7615 0.0152 0.3109  1 Si 1.67, 1 Be 1.69
19 O 0.8005 0.3954 0.5356  1 Be 1.59, 1 Si 1.61
20 O 0.9848 0.2385 0.1891  1 Si 1.67, 1 Be 1.69

Crystalline Ba2PuAg3Bi4 at its relaxed geometry, computed with PBE.

E_tot: -4.639 eV per atom
E_form: -4.14 eV/f.u.
calculated density: 8.6 g cm⁻³

a = 5.0526 Å, b = 5.0526 Å, c = 12.6515 Å
α = 90.00°, β = 90.00°, γ = 90.00°
Last column: nearest neighbours and their distance in Å.
Element x y z (fractional)
1 Ba 0.0000 0.5000 0.2322  6 Ag 3.82-4.23, 8 Bi 3.87-3.88, 2 Pu 4.23
2 Ba 0.5000 0.0000 0.7678  6 Ag 3.82-4.23, 8 Bi 3.87-3.88, 2 Pu 4.23
3 Pu 0.0000 0.0000 0.5000  4 Bi 3.14
4 Ag 0.0000 0.5000 0.8740  5 Bi 2.86-2.99
5 Ag 0.5000 0.0000 0.1260  5 Bi 2.86-2.99
6 Ag 0.5000 0.5000 0.5000  4 Bi 3.14
7 Bi 0.0000 0.0000 0.0000  4 Ag 2.99
8 Bi 0.0000 0.5000 0.6478  3 Ag 2.86-3.14, 2 Pu 3.14
9 Bi 0.5000 0.0000 0.3522  3 Ag 2.86-3.14, 2 Pu 3.14
10 Bi 0.5000 0.5000 0.0000  4 Ag 2.99

Crystalline YEr3Mg3 at its relaxed geometry, computed with PBE.

E_tot: -3.559 eV per atom
E_form: 0.02 eV/f.u.
calculated density: 5.6 g cm⁻³

a = 9.0853 Å, b = 9.0853 Å, c = 5.4628 Å
α = 90.00°, β = 90.00°, γ = 120.00°
Last column: nearest neighbours and their distance in Å.
Element x y z (fractional)
1 Y 0.3333 0.6667 0.2500  9 Mg 3.38-3.41, 3 Er 3.44
2 Y 0.6667 0.3333 0.7500  9 Mg 3.38-3.41, 3 Er 3.44
3 Er 0.0397 0.8003 0.2500  5 Mg 3.34-3.52, 6 Er 3.40-3.50, 1 Y 3.44
4 Er 0.1997 0.2394 0.2500  5 Mg 3.34-3.52, 6 Er 3.40-3.50, 1 Y 3.44
5 Er 0.2394 0.0397 0.7500  5 Mg 3.34-3.52, 6 Er 3.40-3.50, 1 Y 3.44
6 Er 0.7606 0.9603 0.2500  5 Mg 3.34-3.52, 6 Er 3.40-3.50, 1 Y 3.44
7 Er 0.8003 0.7606 0.7500  5 Mg 3.34-3.52, 6 Er 3.40-3.50, 1 Y 3.44
8 Er 0.9603 0.1997 0.7500  5 Mg 3.34-3.52, 6 Er 3.40-3.50, 1 Y 3.44
9 Mg 0.0933 0.6149 0.7500  5 Er 3.34-3.52, 4 Mg 3.34-3.44, 3 Y 3.38-3.41
10 Mg 0.3851 0.4784 0.7500  5 Er 3.34-3.52, 4 Mg 3.34-3.44, 3 Y 3.38-3.41
11 Mg 0.4784 0.0933 0.2500  5 Er 3.34-3.52, 4 Mg 3.34-3.44, 3 Y 3.38-3.41
12 Mg 0.5216 0.9067 0.7500  5 Er 3.34-3.52, 4 Mg 3.34-3.44, 3 Y 3.38-3.41
13 Mg 0.6149 0.5216 0.2500  5 Er 3.34-3.52, 4 Mg 3.34-3.44, 3 Y 3.38-3.41
14 Mg 0.9067 0.3851 0.2500  5 Er 3.34-3.52, 4 Mg 3.34-3.44, 3 Y 3.38-3.41

Crystalline Ag2PtAu4 at its relaxed geometry, computed with PBE.

E_tot: -3.505 eV per atom
E_form: 0.32 eV/f.u.
calculated density: 15.7 g cm⁻³

a = 7.3120 Å, b = 7.3120 Å, c = 6.9788 Å
α = 116.63°, β = 116.63°, γ = 22.48°
Last column: nearest neighbours and their distance in Å.
Element x y z (fractional)
1 Ag 0.2222 0.2222 0.1635  6 Au 2.84-2.92, 4 Ag 2.85-3.09, 1 Pt 2.85
2 Ag 0.7778 0.7778 0.8365  6 Au 2.84-2.92, 4 Ag 2.85-3.09, 1 Pt 2.85
3 Pt 0.0000 0.0000 0.0000  6 Au 2.76-2.84, 2 Pt 2.85, 2 Ag 2.85
4 Au 0.0839 0.0839 0.7140  1 Pt 2.76, 3 Ag 2.84-2.89, 7 Au 2.85-3.06
5 Au 0.3774 0.3774 0.6126  2 Pt 2.84, 6 Au 2.85-3.06, 3 Ag 2.90-2.92
6 Au 0.6226 0.6226 0.3874  2 Pt 2.84, 6 Au 2.85-3.06, 3 Ag 2.90-2.92
7 Au 0.9161 0.9161 0.2860  1 Pt 2.76, 3 Ag 2.84-2.89, 7 Au 2.85-3.06

Crystalline OsAu at its relaxed geometry, computed with PBE.

E_tot: -6.547 eV per atom
E_form: 1.41 eV/f.u.
calculated density: 20.2 g cm⁻³

a = 2.8050 Å, b = 2.8050 Å, c = 9.3571 Å
α = 90.00°, β = 90.00°, γ = 120.00°
Last column: nearest neighbours and their distance in Å.
Element x y z (fractional)
1 Os 0.3333 0.6667 0.2500  6 Os 2.81, 6 Au 2.85
2 Os 0.6667 0.3333 0.7500  6 Os 2.81, 6 Au 2.85
3 Au 0.0000 0.0000 0.0000  6 Au 2.81, 6 Os 2.85
4 Au 0.0000 0.0000 0.5000  6 Au 2.81, 6 Os 2.85

Crystalline Zr3InO at its relaxed geometry, computed with PBE.

E_tot: -7.804 eV per atom
ΔE_f (raw): -1136 meV/atom
calculated density: 6.9 g cm⁻³

a = 5.8602 Å, b = 5.8602 Å, c = 9.1089 Å
α = 111.87°, β = 111.87°, γ = 42.49°
Last column: nearest neighbours and their distance in Å.
Element x y z (fractional)
1 Zr 0.1316 0.1316 0.4441  2 O 2.20-2.33
2 Zr 0.1329 0.1329 0.9412  1 O 2.28
3 Zr 0.3540 0.3540 0.2994  2 O 2.20
4 Zr 0.6460 0.6460 0.7006  2 O 2.20
5 Zr 0.8671 0.8671 0.0588  1 O 2.28
6 Zr 0.8684 0.8684 0.5559  2 O 2.20-2.33
7 In 0.3875 0.3875 0.8143  1 O 3.00, 8 Zr 3.11-3.25, 1 In 3.29
8 In 0.6125 0.6125 0.1857  1 O 3.00, 8 Zr 3.11-3.25, 1 In 3.29
9 O 0.0879 0.0879 0.6744  5 Zr 2.20-2.33
10 O 0.9121 0.9121 0.3256  5 Zr 2.20-2.33

Crystalline Cs2SrCd2 at its relaxed geometry, computed with PBE.

E_tot: -0.896 eV per atom
E_form: 0.74 eV/f.u.
calculated density: 3.8 g cm⁻³

a = 10.9878 Å, b = 10.9878 Å, c = 4.1697 Å
α = 90.00°, β = 90.00°, γ = 90.00°
Last column: nearest neighbours and their distance in Å.
Element x y z (fractional)
1 Cs 0.1316 0.3684 0.0000  6 Cd 3.73-3.93, 3 Cs 4.09-4.17
2 Cs 0.3684 0.8684 0.0000  6 Cd 3.73-3.93, 3 Cs 4.09-4.17
3 Cs 0.6316 0.1316 0.0000  6 Cd 3.73-3.93, 3 Cs 4.09-4.17
4 Cs 0.8684 0.6316 0.0000  6 Cd 3.73-3.93, 3 Cs 4.09-4.17
5 Sr 0.0000 0.0000 0.0000  2 Sr 4.17, 4 Cs 4.30, 8 Cd 4.58
6 Sr 0.5000 0.5000 0.0000  2 Sr 4.17, 4 Cs 4.30, 8 Cd 4.58
7 Cd 0.1691 0.6691 0.5000  6 Cs 3.73-3.93, 2 Cd 4.17
8 Cd 0.3309 0.1691 0.5000  6 Cs 3.73-3.93, 2 Cd 4.17
9 Cd 0.6691 0.8309 0.5000  6 Cs 3.73-3.93, 2 Cd 4.17
10 Cd 0.8309 0.3309 0.5000  6 Cs 3.73-3.93, 2 Cd 4.17